DFT (PBE) results for Cr2CuC2 after structural relaxation.

The structure belongs to space group P4/mbm (No. 127); the cell edges are 5.6901, 5.6901 and 2.6773 Å and the angles 90.00°, 90.00° and 90.00°. The inequivalent atoms are Cr at (0.1437, 0.3563, 0.0000), Cu at (0.0000, 0.0000, 0.5000) and C at (0.1466, 0.6466, 0.5000).

The crystal system is tetragonal. The energy is -7.99 eV per atom. The energy of formation comes out at 0.3699 eV per atom.

DFT (PBE) results for CrCuC3 after structural relaxation.

The structure belongs to space group Pm-3m (No. 221); the cell edges are 3.7859, 3.7859 and 3.7859 Å and the angles 90.00°, 90.00° and 90.00°. The inequivalent atoms are Cr at (0.0000, 0.0000, 0.0000), Cu at (0.5000, 0.5000, 0.5000) and C at (0.0000, 0.0000, 0.5000).

The crystal system is cubic. The energy is -6.43 eV per atom. The energy of formation comes out at 1.8435 eV per atom.

| no. | density of states at the Fermi level (states/eV per atom) | excess energy over the best structure of this formula in the dataset (meV per atom) |
| --- | --- | --- |
| 1 | 0.6993 | 0 |
| 2 | 0.2659 | 0 |